Entry 1:
# Cs3WF8

A relaxed Cs3WF8 crystal (PBE with a Hubbard U, Alexandria).

Output
total energy = -58.585 eV per cell

Lattice parameters (Å, degrees): 6.9700 6.9700 6.9700 118.11 118.11 93.30
Sites, in units of the cell vectors:
Cs: 0.0000 0.0000 0.0000
Cs: 0.2500 0.7500 0.5000
Cs: 0.7500 0.2500 0.5000
W: 0.5000 0.5000 0.0000
F: 0.2085 0.2085 0.7636
F: 0.2416 0.6314 0.0000
F: 0.3686 0.3686 0.6102
F: 0.4449 0.4449 0.2364
F: 0.5551 0.7915 0.0000
F: 0.6314 0.2416 0.0000
F: 0.7584 0.7584 0.3898
F: 0.7915 0.5551 0.0000

Entry 2:
# CsW3F

A relaxed CsW3F crystal (PBE with a Hubbard U, Alexandria).

Output
total energy = -2.504 eV per cell

Lattice parameters (Å, degrees): 5.0441 5.0441 5.0441 90.00 90.00 90.00
Sites, in units of the cell vectors:
Cs: 0.0000 0.0000 0.0000
W: 0.0000 0.0000 0.5000
W: 0.0000 0.5000 0.0000
W: 0.5000 0.0000 0.0000
F: 0.5000 0.5000 0.5000

Entry 3:
# Cs3W2F9

A relaxed Cs3W2F9 crystal (PBE with a Hubbard U, Alexandria).

Output
total energy = -142.525 eV per cell

Lattice parameters (Å, degrees): 8.3820 8.3820 8.3820 85.71 85.71 85.71
Sites, in units of the cell vectors:
Cs: 0.0979 0.7500 0.4021
Cs: 0.2500 0.5979 0.9021
Cs: 0.4021 0.0979 0.7500
Cs: 0.5979 0.9021 0.2500
Cs: 0.7500 0.4021 0.0979
Cs: 0.9021 0.2500 0.5979
W: 0.1519 0.1519 0.1519
W: 0.3481 0.3481 0.3481
W: 0.6519 0.6519 0.6519
W: 0.8481 0.8481 0.8481
F: 0.0695 0.9150 0.7488
F: 0.0850 0.2512 0.9305
F: 0.1101 0.3899 0.2500
F: 0.2488 0.4150 0.5695
F: 0.2500 0.1101 0.3899
F: 0.2512 0.9305 0.0850
F: 0.3899 0.2500 0.1101
F: 0.4150 0.5695 0.2488
F: 0.4305 0.7512 0.5850
F: 0.5695 0.2488 0.4150
F: 0.5850 0.4305 0.7512
F: 0.6101 0.7500 0.8899
F: 0.7488 0.0695 0.9150
F: 0.7500 0.8899 0.6101
F: 0.7512 0.5850 0.4305
F: 0.8899 0.6101 0.7500
F: 0.9150 0.7488 0.0695
F: 0.9305 0.0850 0.2512

Entry 4:
# Cs2WF7

A relaxed Cs2WF7 crystal (PBE with a Hubbard U, Alexandria).

Output
total energy = -100.989 eV per cell

Lattice parameters (Å, degrees): 8.2422 8.2422 10.8521 127.77 127.77 50.56
Sites, in units of the cell vectors:
Cs: 0.0061 0.6789 0.7589
Cs: 0.3211 0.9939 0.7411
Cs: 0.6789 0.0061 0.2589
Cs: 0.9939 0.3211 0.2411
W: 0.3072 0.6928 0.2500
W: 0.6928 0.3072 0.7500
F: 0.0017 0.1465 0.8996
F: 0.1465 0.0017 0.3996
F: 0.1995 0.5852 0.2964
F: 0.2521 0.4698 0.0194
F: 0.4023 0.5977 0.7500
F: 0.4148 0.8005 0.2036
F: 0.4698 0.2521 0.5194
F: 0.5302 0.7479 0.4806
F: 0.5852 0.1995 0.7964
F: 0.5977 0.4023 0.2500
F: 0.7479 0.5302 0.9806
F: 0.8005 0.4148 0.7036
F: 0.8535 0.9983 0.6004
F: 0.9983 0.8535 0.1004

Question: The highest total energy belongs to which entry?
Answer: CsW3F

Question: total energy of number 2 (CsW3F)?
Answer: -2.504 eV per cell